# 1
The following is a PBE-GGA calculation of crystalline SbRhI2 at its relaxed geometry, from the Alexandria database.

a b c (Å): 5.232 5.232 5.232
angles (deg): 60.00 60.00 60.00
Atoms (fractional coordinates):
Sb  0.500  0.500  0.500
I  0.250  0.250  0.250
I  0.750  0.750  0.750
Rh  0.000  0.000  0.000

Calculated values
formation energy without anion corrections	0.6373	eV per atom
energy relative to the lowest polymorph listed for this composition	2.212	eV per formula unit

# 2
The following is a PBE-GGA calculation of crystalline Sb2RhI at its relaxed geometry, from the Alexandria database.

a b c (Å): 5.116 5.116 5.116
angles (deg): 60.00 60.00 60.00
Atoms (fractional coordinates):
I  0.500  0.500  0.500
Rh  0.000  0.000  0.000
Sb  0.750  0.750  0.750
Sb  0.250  0.250  0.250

Calculated values
formation energy without anion corrections	0.5394	eV per atom
energy relative to the lowest polymorph listed for this composition	1.955	eV per formula unit

# 3
The following is a PBE-GGA calculation of crystalline Sb2Rh2I at its relaxed geometry, from the Alexandria database.

a b c (Å): 8.419 8.419 3.227
angles (deg): 90.00 90.00 90.00
Atoms (fractional coordinates):
Rh  0.621  0.879  0.500
Rh  0.879  0.379  0.500
Rh  0.121  0.621  0.500
Rh  0.379  0.121  0.500
Sb  0.141  0.359  0.000
Sb  0.359  0.859  0.000
Sb  0.859  0.641  0.000
Sb  0.641  0.141  0.000
I  0.500  0.500  0.000
I  0.000  0.000  0.000

Calculated values
formation energy without anion corrections	0.1574	eV per atom
energy relative to the lowest polymorph listed for this composition	1.818	eV per formula unit

# 4
The following is a PBE-GGA calculation of crystalline ScSbRhI2 at its relaxed geometry, from the Alexandria database.

a b c (Å): 5.313 5.313 5.268
angles (deg): 90.00 90.00 90.00
Atoms (fractional coordinates):
I  0.000  0.500  0.000
I  0.500  0.000  0.000
Rh  0.000  0.000  0.000
Sb  0.000  0.000  0.500
Sc  0.500  0.500  0.500

Calculated values
formation energy without anion corrections	0.1897	eV per atom
energy relative to the lowest polymorph listed for this composition	0.000	eV per formula unit

# 5
The following is a PBE-GGA calculation of crystalline Sc2SbRhI at its relaxed geometry, from the Alexandria database.

a b c (Å): 5.283 4.811 5.283
angles (deg): 90.00 90.00 90.00
Atoms (fractional coordinates):
Sc  0.000  0.000  0.500
Sc  0.500  0.000  0.000
Sb  0.500  0.500  0.500
I  0.000  0.000  0.000
Rh  0.000  0.500  0.000

Calculated values
formation energy without anion corrections	0.2342	eV per atom

# 6
The following is a PBE-GGA calculation of crystalline ScSbRhI2 at its relaxed geometry, from the Alexandria database.

a b c (Å): 5.546 5.546 5.761
angles (deg): 90.00 90.00 90.00
Atoms (fractional coordinates):
Sb  0.000  0.000  0.500
Sc  0.000  0.000  0.000
Rh  0.500  0.500  0.500
I  0.500  0.000  0.000
I  0.000  0.500  0.000

Calculated values
formation energy without anion corrections	0.4628	eV per atom
energy relative to the lowest polymorph listed for this composition	1.366	eV per formula unit

# 7
The following is a PBE-GGA calculation of crystalline ScSb2RhI at its relaxed geometry, from the Alexandria database.

a b c (Å): 5.122 5.122 5.471
angles (deg): 90.00 90.00 90.00
Atoms (fractional coordinates):
Sb  0.500  0.000  0.000
Sb  0.000  0.500  0.000
I  0.000  0.000  0.500
Rh  0.000  0.000  0.000
Sc  0.500  0.500  0.500

Calculated values
formation energy without anion corrections	0.1992	eV per atom
energy relative to the lowest polymorph listed for this composition	0.000	eV per formula unit

# 8
The following is a PBE-GGA calculation of crystalline ScSb2RhI at its relaxed geometry, from the Alexandria database.

a b c (Å): 5.461 5.461 5.473
angles (deg): 90.00 90.00 90.00
Atoms (fractional coordinates):
Sb  0.000  0.500  0.000
Sb  0.500  0.000  0.000
I  0.000  0.000  0.500
Rh  0.500  0.500  0.500
Sc  0.000  0.000  0.000

Calculated values
formation energy without anion corrections	0.6723	eV per atom
energy relative to the lowest polymorph listed for this composition	2.365	eV per formula unit

# 9
The following is a PBE-GGA calculation of crystalline SbRhSe2I at its relaxed geometry, from the Alexandria database.

a b c (Å): 4.811 5.678 4.811
angles (deg): 90.00 90.00 90.00
Atoms (fractional coordinates):
Rh  0.000  0.000  0.000
I  0.500  0.500  0.500
Sb  0.000  0.500  0.000
Se  0.000  0.000  0.500
Se  0.500  0.000  0.000

Calculated values
formation energy without anion corrections	0.2460	eV per atom

# 10
The following is a PBE-GGA calculation of crystalline Sb2RhSeI at its relaxed geometry, from the Alexandria database.

a b c (Å): 5.342 5.342 5.552
angles (deg): 90.00 90.00 90.00
Atoms (fractional coordinates):
Sb  0.000  0.500  0.000
Sb  0.500  0.000  0.000
I  0.000  0.000  0.500
Se  0.000  0.000  0.000
Rh  0.500  0.500  0.500

Calculated values
formation energy without anion corrections	1.1622	eV per atom
energy relative to the lowest polymorph listed for this composition	3.953	eV per formula unit

# 11
The following is a PBE-GGA calculation of crystalline Sb2RhSeI at its relaxed geometry, from the Alexandria database.

a b c (Å): 5.159 5.159 5.338
angles (deg): 90.00 90.00 90.00
Atoms (fractional coordinates):
Se  0.500  0.500  0.500
Sb  0.000  0.500  0.000
Sb  0.500  0.000  0.000
I  0.000  0.000  0.500
Rh  0.000  0.000  0.000

Calculated values
formation energy without anion corrections	0.3716	eV per atom
energy relative to the lowest polymorph listed for this composition	0.000	eV per formula unit

# 12
The following is a PBE-GGA calculation of crystalline SrSb2RhI at its relaxed geometry, from the Alexandria database.

a b c (Å): 5.166 5.166 5.860
angles (deg): 90.00 90.00 90.00
Atoms (fractional coordinates):
Sr  0.500  0.500  0.500
Sb  0.500  0.000  0.000
Sb  0.000  0.500  0.000
I  0.000  0.000  0.500
Rh  0.000  0.000  0.000

Calculated values
formation energy without anion corrections	-0.2999	eV per atom
energy relative to the lowest polymorph listed for this composition	0.000	eV per formula unit

- Which value of formation energy without anion corrections does entry 1 give?
  0.6373 eV per atom